Dy6Zn5Os | PBE | relaxed

Output
Total magnetic moment = 0.00 μB/f.u.
Energy of formation from the pure elements = -0.361 eV per atom
Final energy = -99.077 eV for the cell shown
N(E_F) = 6.75 states/eV/f.u.
V = 22.14 Å³ per atom

```
data_Dy6Zn5Os
_space_group_name_H-M_alt 'C m m m'
_space_group_IT_number 65
_space_group_name_Hall '-C 2 2'
_cell_length_a 4.9906
_cell_length_b 14.9591
_cell_length_c 7.1189
_cell_angle_alpha 90.00
_cell_angle_beta 90.00
_cell_angle_gamma 90.00
loop_
_atom_site_label
_atom_site_type_symbol
_atom_site_fract_x
_atom_site_fract_y
_atom_site_fract_z
Dy1 Dy 0.0000 0.0000 0.2371
Dy2 Dy 0.0000 0.3402 0.2437
Zn1 Zn 0.0000 0.1681 0.5000
Zn2 Zn 0.0000 0.1743 0.0000
Zn3 Zn 0.0000 0.5000 0.5000
Os1 Os 0.0000 0.5000 0.0000
```